# CrPt2Cl

A geometry-optimized CrPt2Cl structure (GGA-PBE, Alexandria).

a b c (Å): 3.099 3.099 6.934
angles (deg): 90.00 90.00 90.00
Sites, in units of the cell vectors:
Cr 0.000 0.000 0.000
Pt 0.500 0.500 0.206
Pt 0.500 0.500 0.794
Cl 0.000 0.000 0.500

Computed properties:
Fermi-level density of states ... 1.52 states/eV per cell
Final energy ... -23.1 eV for the cell shown